# InHgH (PBE-GGA, relaxed)
data_InHgH
_chemical_formula_sum 'In2 Hg2 H2'
_space_group_name_H-M_alt 'P 1'
_space_group_IT_number 1
_cell_length_a 3.3857
_cell_length_b 5.4406
_cell_length_c 7.2721
_cell_angle_alpha 79.00
_cell_angle_beta 81.54
_cell_angle_gamma 84.75
loop_
_space_group_symop_operation_xyz
'x,y,z'
loop_
_atom_site_label
_atom_site_type_symbol
_atom_site_fract_x
_atom_site_fract_y
_atom_site_fract_z
_atom_site_occupancy
In1 In 0.2423 0.2442 0.2125 1
In2 In 0.7577 0.7558 0.7875 1
Hg1 Hg 0.2370 0.7159 0.3577 1
Hg2 Hg 0.7630 0.2841 0.6423 1
H1 H 0.2199 0.7141 0.9382 1
H2 H 0.7801 0.2859 0.0618 1
# - final energy (eV per cell) = -11.554

=====

# CdPRu2 (PBE-GGA, relaxed)
data_CdPRu2
_chemical_formula_sum 'Cd1 P1 Ru2'
_space_group_name_H-M_alt 'P 1'
_space_group_IT_number 1
_cell_length_a 2.8609
_cell_length_b 2.8609
_cell_length_c 7.8985
_cell_angle_alpha 90.00
_cell_angle_beta 90.00
_cell_angle_gamma 90.00
loop_
_space_group_symop_operation_xyz
'x,y,z'
loop_
_atom_site_label
_atom_site_type_symbol
_atom_site_fract_x
_atom_site_fract_y
_atom_site_fract_z
_atom_site_occupancy
Cd1 Cd 0.0000 0.0000 0.0000 1
P1 P 0.5000 0.5000 0.3371 1
Ru1 Ru 0.0000 0.0000 0.5102 1
Ru2 Ru 0.5000 0.5000 0.7414 1
# - final energy (eV per cell) = -24.527

=====

# Ce3Pr3SmTe8 (PBE-GGA, relaxed)
data_Ce3Pr3SmTe8
_chemical_formula_sum 'Ce3 Pr3 Sm1 Te8'
_space_group_name_H-M_alt 'P 1'
_space_group_IT_number 1
_cell_length_a 9.0050
_cell_length_b 9.0050
_cell_length_c 9.0050
_cell_angle_alpha 59.86
_cell_angle_beta 59.86
_cell_angle_gamma 59.86
loop_
_space_group_symop_operation_xyz
'x,y,z'
loop_
_atom_site_label
_atom_site_type_symbol
_atom_site_fract_x
_atom_site_fract_y
_atom_site_fract_z
_atom_site_occupancy
Ce1 Ce 0.0000 0.5000 0.5000 1
Ce2 Ce 0.5000 0.0000 0.5000 1
Ce3 Ce 0.5000 0.5000 0.0000 1
Pr1 Pr 0.0000 0.0000 0.5000 1
Pr2 Pr 0.0000 0.5000 0.0000 1
Pr3 Pr 0.5000 0.0000 0.0000 1
Sm1 Sm 0.0000 0.0000 0.0000 1
Te1 Te 0.2509 0.2509 0.2509 1
Te2 Te 0.2520 0.2520 0.7461 1
Te3 Te 0.2520 0.7461 0.2520 1
Te4 Te 0.2539 0.7480 0.7480 1
Te5 Te 0.7461 0.2520 0.2520 1
Te6 Te 0.7480 0.2539 0.7480 1
Te7 Te 0.7480 0.7480 0.2539 1
Te8 Te 0.7491 0.7491 0.7491 1
# - formation energy without anion corrections (meV per atom) = -1436.1

=====

# TmGeSe3 (PBE-GGA, relaxed)
data_TmGeSe3
_chemical_formula_sum 'Tm4 Ge4 Se12'
_space_group_name_H-M_alt 'P 1'
_space_group_IT_number 1
_cell_length_a 7.2838
_cell_length_b 6.6501
_cell_length_c 10.7896
_cell_angle_alpha 90.00
_cell_angle_beta 90.00
_cell_angle_gamma 90.00
loop_
_space_group_symop_operation_xyz
'x,y,z'
loop_
_atom_site_label
_atom_site_type_symbol
_atom_site_fract_x
_atom_site_fract_y
_atom_site_fract_z
_atom_site_occupancy
Tm1 Tm 0.1267 0.0824 0.0000 1
Tm2 Tm 0.3734 0.5824 0.5000 1
Tm3 Tm 0.6266 0.4176 0.0000 1
Tm4 Tm 0.8734 0.9176 0.5000 1
Ge1 Ge 0.1141 0.5574 0.1590 1
Ge2 Ge 0.3859 0.0574 0.6590 1
Ge3 Ge 0.6141 0.9426 0.1590 1
Ge4 Ge 0.8859 0.4426 0.6590 1
Se1 Se 0.1254 0.2488 0.5238 1
Se2 Se 0.1256 0.7543 0.6744 1
Se3 Se 0.1496 0.7888 0.3339 1
Se4 Se 0.3504 0.2888 0.8339 1
Se5 Se 0.3744 0.2543 0.1744 1
Se6 Se 0.3746 0.7488 0.0238 1
Se7 Se 0.6254 0.2512 0.5238 1
Se8 Se 0.6256 0.7457 0.6744 1
Se9 Se 0.6496 0.7112 0.3339 1
Se10 Se 0.8504 0.2112 0.8339 1
Se11 Se 0.8744 0.2457 0.1744 1
Se12 Se 0.8746 0.7512 0.0238 1
# - formation energy without anion corrections (meV per atom) = -917.5

=====

# NaMgCu4 (PBE-GGA, relaxed)
data_NaMgCu4
_chemical_formula_sum 'Na1 Mg1 Cu4'
_space_group_name_H-M_alt 'P 1'
_space_group_IT_number 1
_cell_length_a 5.0518
_cell_length_b 5.0518
_cell_length_c 5.0518
_cell_angle_alpha 60.00
_cell_angle_beta 60.00
_cell_angle_gamma 60.00
loop_
_space_group_symop_operation_xyz
'x,y,z'
loop_
_atom_site_label
_atom_site_type_symbol
_atom_site_fract_x
_atom_site_fract_y
_atom_site_fract_z
_atom_site_occupancy
Na1 Na 0.0000 0.0000 0.0000 1
Mg1 Mg 0.2500 0.2500 0.2500 1
Cu1 Cu 0.1261 0.6246 0.6246 1
Cu2 Cu 0.6246 0.1261 0.6246 1
Cu3 Cu 0.6246 0.6246 0.1261 1
Cu4 Cu 0.6246 0.6246 0.6246 1
# - final energy (eV per cell) = -19.209

=====

# TbNd2Hg (PBE-GGA, relaxed)
data_TbNd2Hg
_chemical_formula_sum 'Tb1 Nd2 Hg1'
_space_group_name_H-M_alt 'P 1'
_space_group_IT_number 1
_cell_length_a 3.7228
_cell_length_b 3.7228
_cell_length_c 8.9829
_cell_angle_alpha 90.00
_cell_angle_beta 90.00
_cell_angle_gamma 90.00
loop_
_space_group_symop_operation_xyz
'x,y,z'
loop_
_atom_site_label
_atom_site_type_symbol
_atom_site_fract_x
_atom_site_fract_y
_atom_site_fract_z
_atom_site_occupancy
Tb1 Tb 0.0000 0.0000 0.0000 1
Nd1 Nd 0.5000 0.5000 0.2758 1
Nd2 Nd 0.5000 0.5000 0.7242 1
Hg1 Hg 0.0000 0.0000 0.5000 1
# - final energy (eV per cell) = -15.338

=====

# Pm4Ho5Cd2 (PBE-GGA, relaxed)
data_Pm4Ho5Cd2
_chemical_formula_sum 'Pm4 Ho5 Cd2'
_space_group_name_H-M_alt 'P 1'
_space_group_IT_number 1
_cell_length_a 8.6209
_cell_length_b 3.4907
_cell_length_c 11.3121
_cell_angle_alpha 90.00
_cell_angle_beta 93.84
_cell_angle_gamma 90.00
loop_
_space_group_symop_operation_xyz
'x,y,z'
loop_
_atom_site_label
_atom_site_type_symbol
_atom_site_fract_x
_atom_site_fract_y
_atom_site_fract_z
_atom_site_occupancy
Pm1 Pm 0.1451 0.0000 0.3823 1
Pm2 Pm 0.2806 0.0000 0.9520 1
Pm3 Pm 0.7194 0.0000 0.0480 1
Pm4 Pm 0.8549 0.0000 0.6177 1
Ho1 Ho 0.2043 0.5000 0.6684 1
Ho2 Ho 0.4285 0.5000 0.2071 1
Ho3 Ho 0.5000 0.5000 0.5000 1
Ho4 Ho 0.5715 0.5000 0.7929 1
Ho5 Ho 0.7957 0.5000 0.3316 1
Cd1 Cd 0.0536 0.5000 0.1315 1
Cd2 Cd 0.9464 0.5000 0.8685 1
# - final energy (eV per cell) = -43.605

=====

# RbLaMg2Ru (PBE-GGA, relaxed)
data_RbLaMg2Ru
_chemical_formula_sum 'Rb1 La1 Mg2 Ru1'
_space_group_name_H-M_alt 'P 1'
_space_group_IT_number 1
_cell_length_a 5.4863
_cell_length_b 5.4863
_cell_length_c 5.1628
_cell_angle_alpha 90.00
_cell_angle_beta 90.00
_cell_angle_gamma 90.00
loop_
_space_group_symop_operation_xyz
'x,y,z'
loop_
_atom_site_label
_atom_site_type_symbol
_atom_site_fract_x
_atom_site_fract_y
_atom_site_fract_z
_atom_site_occupancy
Rb1 Rb 0.0000 0.0000 0.0000 1
La1 La 0.5000 0.5000 0.0000 1
Mg1 Mg 0.0000 0.5000 0.5000 1
Mg2 Mg 0.5000 0.0000 0.5000 1
Ru1 Ru 0.5000 0.5000 0.5000 1
# - final energy (eV per cell) = -18.270

=====

| no. | magnetization (μB/f.u.) |
| --- | --- |
| 1 | 0.0 |
| 2 | 0.2 |
| 3 | 3.7 |
| 4 | 0.0 |
| 5 | 0.0 |
| 6 | 0.0 |
| 7 | 0.0 |
| 8 | 0.0 |